! MnI2O2, optimized geometry, DFT PBE with a Hubbard U; values from VASP
! Raw total energy in eV/atom: -3.521
! Calculated volume in A^3/atom: 19.6
! M_tot in μB per formula unit: 5.41
! Energy relative to the lowest polymorph listed for this composition in meV/atom: 648.4
&SYSTEM
  ibrav = 0, nat = 5, ntyp = 3
/
ATOMIC_SPECIES
I 126.90 I.upf
O 16.00 O.upf
Mn 54.94 Mn.upf
CELL_PARAMETERS angstrom
-3.8805 0.9369 -2.8671
2.2483 -2.2159 -3.7671
-1.6560 -3.5297 1.0879
ATOMIC_POSITIONS angstrom
I 1.1242 -1.1080 -1.8835
I -1.9402 0.4684 -1.4336
O 0.0000 0.0000 0.0000
O -0.8280 -1.7649 0.5440
Mn -1.6441 -2.4044 -2.7731